Tl5Os3 | GGA-PBE | relaxed

Cell lengths 5.588, 8.005, 8.092 Å; angles 90.74, 96.39, 93.10 degrees
Space group P-1 (No. 2)
Unique sites:
Tl  0.064  0.243  0.063 (multiplicity 2)
Tl  0.082  0.902  0.325 (multiplicity 2)
Tl  0.197  0.378  0.468 (multiplicity 2)
Tl  0.376  0.755  0.712 (multiplicity 2)
Tl  0.402  0.608  0.155 (multiplicity 2)
Os  0.095  0.477  0.788 (multiplicity 2)
Os  0.364  0.063  0.897 (multiplicity 2)
Os  0.419  0.094  0.599 (multiplicity 2)

Output
crystal system	triclinic
ΔE_f	0.7596	eV per atom
raw total energy	-78.9	eV per cell
V	22.4	Å³ per atom